Density functional theory data (PBE) for a geometry-optimized Cd2Fe structure.

Geometry as POSCAR:
```
Cd2Fe
1.0
-3.424 3.424 2.405
3.424 -3.424 2.405
3.424 3.424 -2.405
Cd Fe
4 2
direct
0.161 0.661 0.823 Cd
0.339 0.161 0.500 Cd
0.661 0.839 0.500 Cd
0.839 0.339 0.177 Cd
0.250 0.250 0.000 Fe
0.750 0.750 0.000 Fe
```

Summary:
- energy relative to the elements (eV per atom) = 0.293
- V (Å³/f.u.) = 56.38
- Fermi-level density of states (states/eV/cell) = 5.51